GaCoH | GGA-PBE | optimized geometry

a = 2.608 Å, b = 2.608 Å, c = 8.433 Å
α = 90.00°, β = 90.00°, γ = 90.00°
Space group I4mm (No. 107)
Asymmetric unit:
Ga1 0.000 0.000 0.000 (multiplicity 2)
Co1 0.000 0.000 0.289 (multiplicity 2)
H1 0.000 0.000 0.747 (multiplicity 2)

Computed properties:
The value obtained for the total energy is -4.4474 eV/atom.